(1)
The following is a DFT calculation (GGA-PBEsol) of a relaxed structure of Nb4FeS8.

Values from the calculation:
Electronic total energy: -7.84 eV/atom
Volume: 428.0 Å³/cell
Magnetization: 0.00 μB/cell
Offset from the most stable computed form: 0 meV/atom
N(E_F): 10.0 states/eV/cell
ρ: 5.31 Mg/m³
Uncorrected formation energy: -14.65 eV/f.u.

a b c (Å): 6.569 6.569 11.452
angles (deg): 90.00 90.00 120.00
Fractional coordinates of all 26 atoms:
Nb 0.000 0.000 0.250
Nb 0.000 0.000 0.750
Nb 0.013 0.506 0.750
Nb 0.494 0.987 0.750
Nb 0.494 0.506 0.750
Nb 0.987 0.494 0.250
Nb 0.506 0.013 0.250
Nb 0.506 0.494 0.250
Fe 0.000 0.000 0.000
Fe 0.000 0.000 0.500
S 0.333 0.667 0.608
S 0.667 0.333 0.392
S 0.667 0.333 0.108
S 0.333 0.667 0.892
S 0.330 0.165 0.613
S 0.835 0.670 0.613
S 0.835 0.165 0.613
S 0.670 0.835 0.387
S 0.165 0.330 0.387
S 0.165 0.835 0.387
S 0.670 0.835 0.113
S 0.165 0.330 0.113
S 0.165 0.835 0.113
S 0.330 0.165 0.887
S 0.835 0.670 0.887
S 0.835 0.165 0.887


(2)
The following is a DFT calculation (GGA-PBEsol) of a relaxed structure of ErCdAu.

Values from the calculation:
Electronic total energy: -4.03 eV/atom
Volume: 192.2 Å³/cell
Formation energy from the elements: -2.044 eV/f.u.
Magnetization: 0.00 μB/cell
N(E_F): 5.8 states/eV/cell
ρ: 12.35 Mg/m³

a b c (Å): 3.865 7.578 7.578
angles (deg): 120.00 90.00 90.00
Fractional coordinates of all 9 atoms:
Cd 0.500 0.000 0.262
Cd 0.500 0.262 0.000
Cd 0.500 0.738 0.738
Au 0.500 0.333 0.667
Au 0.500 0.667 0.333
Au 0.000 0.000 0.000
Er 0.000 0.000 0.597
Er 0.000 0.597 0.000
Er 0.000 0.403 0.403


- The highest N(E_F) belongs to which entry?
  Nb4FeS8